1.
La2HoZn2Ga2: relaxed, GGA-PBE.

Unit cell a=4.4714 b=4.4714 c=28.6316 alpha=90.00 beta=90.00 gamma=120.00
Closest atoms and distances in Å follow each position.
Space group R-3m (No. 166, hexagonal axes)
Inequivalent atoms, fractional coordinates:
1 La 0.0000 0.0000 0.1269 (multiplicity 6)  3 Ga 3.18, 3 Zn 3.27, 3 La 3.44
2 Ho 0.0000 0.0000 0.0000 (multiplicity 3)  6 Zn 3.05, 6 Ga 3.13
3 Zn 0.0000 0.0000 0.3900 (multiplicity 6)  3 Ga 2.59
4 Ga 0.0000 0.0000 0.2712 (multiplicity 6)  3 Zn 2.59

Values from the calculation:
N(E_F) ... 13.46 states/eV/cell
E_form ... -423 meV/atom

***

2.
Li2HoGa2: relaxed, GGA-PBE.

Unit cell a=3.4941 b=4.4654 c=25.1449 alpha=90.00 beta=90.00 gamma=90.00
Closest atoms and distances in Å follow each position.
Space group Imma (No. 74)
Inequivalent atoms, fractional coordinates:
1 Li 0.0000 0.2500 0.1926 (multiplicity 4)  2 Ga 2.75, 4 Li 2.85
2 Li 0.0000 0.2500 0.7055 (multiplicity 4)  2 Ga 2.61, 6 Li 2.84-2.85
3 Ho 0.0000 0.2500 0.4233 (multiplicity 4)  10 Ga 3.10-3.13, 2 Li 3.40
4 Ga 0.0000 0.2500 0.8716 (multiplicity 4)  1 Ga 2.56, 4 Li 2.61-2.75
5 Ga 0.0000 0.2500 0.9735 (multiplicity 4)  3 Ga 2.56-2.60

Values from the calculation:
N(E_F) ... 9.06 states/eV/cell
E_form ... -382 meV/atom
Offset from the most stable computed form ... 0.0 kJ/mol of atoms

***

3.
Li2HoGa6: relaxed, GGA-PBE.

Unit cell a=3.4287 b=7.4733 c=12.9341 alpha=90.00 beta=90.00 gamma=90.00
Closest atoms and distances in Å follow each position.
Space group Immm (No. 71)
Inequivalent atoms, fractional coordinates:
1 Li 0.0000 0.0000 0.1298 (multiplicity 4)  10 Ga 2.72-3.04
2 Ho 0.0000 0.5000 0.0000 (multiplicity 2)  12 Ga 3.00-3.21
3 Ga 0.0000 0.1778 0.3165 (multiplicity 8)  4 Ga 2.63-2.66, 1 Li 2.76
4 Ga 0.0000 0.3297 0.5000 (multiplicity 4)  3 Ga 2.55-2.63, 4 Li 2.72

Values from the calculation:
N(E_F) ... 5.44 states/eV/cell
E_form ... -305 meV/atom
Offset from the most stable computed form ... 2.4 kJ/mol of atoms

***

4.
LiHo4Ga3: relaxed, GGA-PBE.

Unit cell a=5.0407 b=5.0407 c=24.8816 alpha=90.00 beta=90.00 gamma=120.00
Closest atoms and distances in Å follow each position.
Space group R-3m (No. 166, hexagonal axes)
Inequivalent atoms, fractional coordinates:
1 Li 0.0000 0.0000 0.0000 (multiplicity 3)  8 Ho 3.12-3.16, 6 Ga 3.46
2 Ho 0.0000 0.0000 0.1269 (multiplicity 6)  7 Ga 3.07-3.26, 1 Li 3.16
3 Ho 0.0000 0.0000 0.3785 (multiplicity 6)  5 Ga 3.00-3.02, 3 Li 3.12
4 Ga 0.0000 0.0000 0.2580 (multiplicity 6)  8 Ho 3.00-3.26
5 Ga 0.0000 0.0000 0.5000 (multiplicity 3)  8 Ho 3.02-3.07

Values from the calculation:
N(E_F) ... 17.65 states/eV/cell
E_form ... -469 meV/atom

***

5.
LiHo2Ga12: relaxed, GGA-PBE.

Unit cell a=6.1475 b=6.1475 c=15.0196 alpha=90.00 beta=90.00 gamma=90.00
Closest atoms and distances in Å follow each position.
Space group P4/nbm (No. 125, origin choice 2)
Inequivalent atoms, fractional coordinates:
1 Li 0.2500 0.7500 0.0000 (multiplicity 2)  8 Ga 2.54-2.55
2 Ho 0.2500 0.7500 0.2433 (multiplicity 4)  14 Ga 3.14-3.43
3 Ga 0.0007 0.5007 0.0876 (multiplicity 8)  2 Li 2.54-2.55, 3 Ga 2.60-2.63
4 Ga 0.0843 0.5843 0.5709 (multiplicity 8)  4 Ga 2.59-2.88
5 Ga 0.2500 0.2500 0.1828 (multiplicity 4)  5 Ga 2.43-2.60
6 Ga 0.2500 0.2500 0.3445 (multiplicity 4)  5 Ga 2.43-2.62

Values from the calculation:
N(E_F) ... 8.10 states/eV/cell
E_form ... -291 meV/atom

***

6.
Li4HoGa4: relaxed, GGA-PBE.

Unit cell a=5.8511 b=5.8511 c=9.1990 alpha=90.00 beta=90.00 gamma=90.00
Closest atoms and distances in Å follow each position.
Space group P4_2/nmc (No. 137, origin choice 2)
Inequivalent atoms, fractional coordinates:
1 Li 0.0260 0.2500 0.1729 (multiplicity 8)  5 Ga 2.61-2.69, 3 Li 2.62-2.69
2 Ho 0.2500 0.7500 0.2500 (multiplicity 2)  4 Ga 3.08, 8 Li 3.28
3 Ga 0.0259 0.2500 0.4650 (multiplicity 8)  5 Li 2.61-2.69, 1 Ga 2.62

Values from the calculation:
N(E_F) ... 5.52 states/eV/cell
E_form ... -256 meV/atom

***

7.
Li3Ho3Ga8: relaxed, GGA-PBE.

Unit cell a=4.2565 b=9.4996 c=12.8889 alpha=90.00 beta=90.00 gamma=90.00
Closest atoms and distances in Å follow each position.
Space group Immm (No. 71)
Inequivalent atoms, fractional coordinates:
1 Li 0.0000 0.0000 0.0000 (multiplicity 2)  4 Ga 2.71, 4 Li 2.81
2 Li 0.0000 0.3073 0.5000 (multiplicity 4)  6 Ga 2.57-2.79, 2 Li 2.81
3 Ho 0.0000 0.5000 0.0000 (multiplicity 2)  12 Ga 3.18-3.25
4 Ho 0.0000 0.5000 0.2961 (multiplicity 4)  10 Ga 3.06-3.39, 4 Li 3.20-3.38
5 Ga 0.0000 0.1346 0.3462 (multiplicity 8)  4 Ga 2.56-2.77, 1 Li 2.57
6 Ga 0.0000 0.2141 0.1392 (multiplicity 8)  3 Ga 2.57-2.77, 3 Li 2.71-2.79

Values from the calculation:
N(E_F) ... 6.11 states/eV/cell
E_form ... -497 meV/atom

***

8.
LiHo2Ga9: relaxed, GGA-PBE.

Unit cell a=4.2246 b=4.2246 c=12.4594 alpha=90.00 beta=90.00 gamma=90.00
Closest atoms and distances in Å follow each position.
Space group P4/mmm (No. 123)
Inequivalent atoms, fractional coordinates:
1 Li 0.0000 0.0000 0.0000 (multiplicity 1)  12 Ga 2.81-2.99
2 Ho 0.0000 0.0000 0.3240 (multiplicity 2)  12 Ga 2.99-3.05
3 Ga 0.0000 0.5000 0.1489 (multiplicity 4)  6 Ga 2.81-2.99, 2 Li 2.81, 2 Ho 3.04
4 Ga 0.0000 0.5000 0.5000 (multiplicity 2)  8 Ga 2.93-2.99, 4 Ho 3.05
5 Ga 0.5000 0.5000 0.0000 (multiplicity 1)  8 Ga 2.81, 4 Li 2.99
6 Ga 0.5000 0.5000 0.3368 (multiplicity 2)  8 Ga 2.93-3.15, 4 Ho 2.99

Values from the calculation:
N(E_F) ... 4.15 states/eV/cell
E_form ... -405 meV/atom

***

9.
LiHo3Ga12: relaxed, GGA-PBE.

Unit cell a=4.2480 b=4.2480 c=16.6237 alpha=90.00 beta=90.00 gamma=90.00
Closest atoms and distances in Å follow each position.
Space group P4/mmm (No. 123)
Inequivalent atoms, fractional coordinates:
1 Li 0.0000 0.0000 0.0000 (multiplicity 1)  12 Ga 2.81-3.00
2 Ho 0.0000 0.0000 0.2409 (multiplicity 2)  12 Ga 3.01-3.03
3 Ho 0.0000 0.0000 0.5000 (multiplicity 1)  12 Ga 3.00-3.02
4 Ga 0.0000 0.5000 0.1106 (multiplicity 4)  2 Li 2.81, 8 Ga 2.81-3.14, 2 Ho 3.03
5 Ga 0.0000 0.5000 0.3707 (multiplicity 4)  8 Ga 2.93-3.02, 4 Ho 3.02-3.03
6 Ga 0.5000 0.5000 0.0000 (multiplicity 1)  8 Ga 2.81, 4 Li 3.00
7 Ga 0.5000 0.5000 0.2496 (multiplicity 2)  8 Ga 2.93-3.14, 4 Ho 3.01
8 Ga 0.5000 0.5000 0.5000 (multiplicity 1)  4 Ho 3.00, 8 Ga 3.02

Values from the calculation:
N(E_F) ... 4.45 states/eV/cell
E_form ... -436 meV/atom

***

10.
LiHo2Ga: relaxed, GGA-PBE.

Unit cell a=5.0038 b=5.0038 c=3.7025 alpha=90.00 beta=90.00 gamma=90.00
Closest atoms and distances in Å follow each position.
Space group P4/mmm (No. 123)
Inequivalent atoms, fractional coordinates:
1 Li 0.0000 0.0000 0.0000 (multiplicity 1)  8 Ho 3.11
2 Ho 0.0000 0.5000 0.5000 (multiplicity 2)  4 Li 3.11, 4 Ga 3.11
3 Ga 0.5000 0.5000 0.0000 (multiplicity 1)  8 Ho 3.11

Values from the calculation:
N(E_F) ... 3.35 states/eV/cell
E_form ... -295 meV/atom
Offset from the most stable computed form ... 1.9 kJ/mol of atoms

***

11.
LiHo3Ga8: relaxed, GGA-PBE.

Unit cell a=5.4573 b=5.4573 c=26.8463 alpha=90.00 beta=90.00 gamma=120.00
Closest atoms and distances in Å follow each position.
Space group R3m (No. 160, hexagonal axes)
Inequivalent atoms, fractional coordinates:
1 Li 0.0000 0.0000 0.0000 (multiplicity 3)  12 Ga 3.17-3.23, 4 Ho 3.27-3.30
2 Ho 0.0000 0.0000 0.1218 (multiplicity 3)  12 Ga 3.13-3.33, 1 Li 3.27, 3 Ho 3.39
3 Ho 0.0000 0.0000 0.5015 (multiplicity 3)  12 Ga 3.20-3.21, 4 Ho 3.39-3.44
4 Ho 0.0000 0.0000 0.6298 (multiplicity 3)  12 Ga 3.14-3.25, 3 Li 3.30, 1 Ho 3.44
5 Ga 0.0000 0.0000 0.3146 (multiplicity 3)  6 Ga 2.73-2.74
6 Ga 0.0000 0.0000 0.8143 (multiplicity 3)  6 Ga 2.74
7 Ga 0.9996 0.4998 0.5644 (multiplicity 9)  6 Ga 2.73-2.74
8 Ga 0.0012 0.5006 0.0644 (multiplicity 9)  6 Ga 2.72-2.74

Values from the calculation:
N(E_F) ... 16.41 states/eV/cell
E_form ... -454 meV/atom

***

12.
LiHo6Ga5: relaxed, GGA-PBE.

Unit cell a=5.0494 b=15.2352 c=7.0575 alpha=90.00 beta=90.00 gamma=90.00
Closest atoms and distances in Å follow each position.
Space group Cmmm (No. 65)
Inequivalent atoms, fractional coordinates:
1 Li 0.0000 0.0000 0.0000 (multiplicity 2)  8 Ho 3.11-3.13, 4 Ga 3.46
2 Ho 0.0000 0.1696 0.2497 (multiplicity 8)  7 Ga 3.07-3.19, 1 Li 3.13
3 Ho 0.0000 0.5000 0.2568 (multiplicity 4)  6 Ga 2.98-3.05, 2 Li 3.11
4 Ga 0.0000 0.0000 0.5000 (multiplicity 2)  8 Ho 3.05-3.13
5 Ga 0.0000 0.3343 0.5000 (multiplicity 4)  8 Ho 3.05-3.08
6 Ga 0.0000 0.3444 0.0000 (multiplicity 4)  8 Ho 2.98-3.19

Values from the calculation:
N(E_F) ... 11.85 states/eV/cell
E_form ... -518 meV/atom

***

13.
Li2Ho3Ga4: relaxed, GGA-PBE.

Unit cell a=10.4265 b=4.5350 c=8.6309 alpha=90.00 beta=116.09 gamma=90.00
Closest atoms and distances in Å follow each position.
Space group C2/m (No. 12)
Inequivalent atoms, fractional coordinates:
1 Li 0.1069 0.0000 0.2766 (multiplicity 4)  3 Ga 2.61-2.63
2 Ho 0.0000 0.5000 0.0000 (multiplicity 2)  8 Ga 3.07-3.20, 4 Li 3.12, 2 Ho 3.42
3 Ho 0.1679 0.0000 0.6600 (multiplicity 4)  8 Ga 3.05-3.34, 4 Li 3.08-3.14, 2 Ho 3.37-3.42
4 Ga 0.0426 0.5000 0.3755 (multiplicity 4)  2 Li 2.61, 1 Ga 2.66
5 Ga 0.2374 0.0000 0.0765 (multiplicity 4)  1 Li 2.63, 2 Ga 2.69

Values from the calculation:
N(E_F) ... 8.28 states/eV/cell
E_form ... -487 meV/atom

***

14.
Li2Ho3Ga7: relaxed, GGA-PBE.

Unit cell a=4.2301 b=26.6997 c=4.0779 alpha=90.00 beta=90.00 gamma=90.00
Closest atoms and distances in Å follow each position.
Space group Cmmm (No. 65)
Inequivalent atoms, fractional coordinates:
1 Li 0.0000 0.1363 0.0000 (multiplicity 4)  5 Ga 2.39-2.54
2 Ho 0.0000 0.3244 0.5000 (multiplicity 4)  4 Li 3.12, 10 Ga 3.19-3.33
3 Ho 0.0000 0.5000 0.5000 (multiplicity 2)  12 Ga 2.94-3.05
4 Ga 0.0000 0.0000 0.0000 (multiplicity 2)  4 Ho 2.94, 8 Ga 2.99-3.08
5 Ga 0.0000 0.0821 0.5000 (multiplicity 4)  2 Li 2.50
6 Ga 0.0000 0.2258 0.0000 (multiplicity 4)  1 Li 2.39, 2 Ga 2.48
7 Ga 0.0000 0.4162 0.0000 (multiplicity 4)  2 Li 2.54

Values from the calculation:
N(E_F) ... 11.53 states/eV/cell
E_form ... -428 meV/atom

***

15.
LiHoGa6: relaxed, GGA-PBE.

Unit cell a=4.2112 b=4.2112 c=8.1675 alpha=90.00 beta=90.00 gamma=90.00
Closest atoms and distances in Å follow each position.
Space group P4/mmm (No. 123)
Inequivalent atoms, fractional coordinates:
1 Li 0.0000 0.0000 0.0000 (multiplicity 1)  12 Ga 2.83-2.98
2 Ho 0.0000 0.0000 0.5000 (multiplicity 1)  12 Ga 2.98-3.04
3 Ga 0.0000 0.5000 0.2313 (multiplicity 4)  8 Ga 2.83-3.04, 2 Li 2.83, 2 Ho 3.04
4 Ga 0.5000 0.5000 0.0000 (multiplicity 1)  8 Ga 2.83, 4 Li 2.98
5 Ga 0.5000 0.5000 0.5000 (multiplicity 1)  4 Ho 2.98, 8 Ga 3.04

Values from the calculation:
N(E_F) ... 3.93 states/eV/cell
E_form ... -330 meV/atom

***

16.
LiHoGa3: relaxed, GGA-PBE.

Unit cell a=3.4403 b=26.1707 c=4.3402 alpha=90.00 beta=90.00 gamma=90.00
Closest atoms and distances in Å follow each position.
Space group Cmcm (No. 63)
Inequivalent atoms, fractional coordinates:
1 Li 0.0000 0.2143 0.2500 (multiplicity 4)  7 Ga 2.73-2.90
2 Ho 0.0000 0.0746 0.7500 (multiplicity 4)  12 Ga 3.05-3.28
3 Ga 0.0000 0.3186 0.2500 (multiplicity 4)  2 Ga 2.60, 5 Li 2.73-2.90
4 Ga 0.0000 0.3730 0.7500 (multiplicity 4)  3 Ga 2.60-2.65, 2 Li 2.86
5 Ga 0.0000 0.4742 0.7500 (multiplicity 4)  3 Ga 2.56-2.65

Values from the calculation:
N(E_F) ... 9.72 states/eV/cell
E_form ... -445 meV/atom

***

17.
Li2Ho3Ga9: relaxed, GGA-PBE.

Unit cell a=4.2201 b=9.7205 c=12.6154 alpha=90.00 beta=90.00 gamma=90.00
Closest atoms and distances in Å follow each position.
Space group Immm (No. 71)
Inequivalent atoms, fractional coordinates:
1 Li 0.0000 0.2032 0.0000 (multiplicity 4)  6 Ga 2.56-2.74
2 Ho 0.0000 0.0000 0.1899 (multiplicity 4)  10 Ga 3.09-3.19, 2 Li 3.10
3 Ho 0.0000 0.0000 0.5000 (multiplicity 2)  12 Ga 3.17-3.22
4 Ga 0.0000 0.2785 0.3623 (multiplicity 8)  4 Ga 2.56-2.77, 2 Li 2.74
5 Ga 0.0000 0.3688 0.1581 (multiplicity 8)  4 Ga 2.55-2.72, 1 Li 2.56
6 Ga 0.0000 0.5000 0.5000 (multiplicity 2)  4 Ga 2.77, 4 Li 2.89

Values from the calculation:
N(E_F) ... 12.61 states/eV/cell
E_form ... -504 meV/atom

***

18.
LiHo8Ga2: relaxed, GGA-PBE.

Unit cell a=17.7140 b=5.0277 c=6.8083 alpha=90.00 beta=102.78 gamma=90.00
Closest atoms and distances in Å follow each position.
Space group C2/m (No. 12)
Inequivalent atoms, fractional coordinates:
1 Li 0.0000 0.0000 0.0000 (multiplicity 2)  8 Ho 2.96-3.24
2 Ho 0.0262 0.5000 0.7618 (multiplicity 4)  1 Ga 3.02, 2 Li 3.08
3 Ho 0.0934 0.0000 0.4665 (multiplicity 4)  1 Li 3.24, 8 Ho 3.32-3.58, 2 Ga 3.36
4 Ho 0.1628 0.0000 0.9604 (multiplicity 4)  3 Ga 2.92-3.07, 1 Li 2.96
5 Ho 0.1966 0.5000 0.2997 (multiplicity 4)  3 Ga 2.95-3.21
6 Ga 0.1937 0.5000 0.7315 (multiplicity 4)  7 Ho 2.92-3.21

Values from the calculation:
N(E_F) ... 22.78 states/eV/cell
E_form ... -168 meV/atom

***

19.
Li2HoGa2: relaxed, GGA-PBE.

Unit cell a=3.3551 b=4.5483 c=12.5172 alpha=90.00 beta=90.00 gamma=90.00
Closest atoms and distances in Å follow each position.
Space group Pmmn (No. 59, origin choice 2)
Inequivalent atoms, fractional coordinates:
1 Li 0.2500 0.2500 0.0196 (multiplicity 2)  4 Ga 2.75-2.83, 4 Li 2.87
2 Li 0.2500 0.7500 0.3647 (multiplicity 2)  5 Ga 2.59-2.73
3 Ho 0.2500 0.7500 0.7507 (multiplicity 2)  6 Ga 3.07-3.16, 6 Li 3.17-3.33, 2 Ho 3.36
4 Ga 0.2500 0.2500 0.4634 (multiplicity 2)  4 Li 2.59-2.73
5 Ga 0.2500 0.7500 0.1542 (multiplicity 2)  5 Li 2.63-2.83

Values from the calculation:
N(E_F) ... 4.19 states/eV/cell
E_form ... -318 meV/atom
Offset from the most stable computed form ... 6.2 kJ/mol of atoms

***

20.
LiHo2Ga3: relaxed, GGA-PBE.

Unit cell a=7.0853 b=8.9120 c=15.4605 alpha=90.00 beta=90.00 gamma=90.00
Closest atoms and distances in Å follow each position.
Space group Fmmm (No. 69)
Inequivalent atoms, fractional coordinates:
1 Li 0.0000 0.0000 0.1683 (multiplicity 8)  3 Ga 2.54-2.57
2 Ho 0.2472 0.0000 0.0000 (multiplicity 8)  10 Ga 3.12-3.15, 2 Li 3.14
3 Ho 0.2500 0.2500 0.2500 (multiplicity 8)  8 Ga 3.11-3.12, 4 Li 3.11
4 Ga 0.0000 0.0000 0.3324 (multiplicity 8)  1 Li 2.54, 2 Ga 2.58
5 Ga 0.0000 0.2492 0.0845 (multiplicity 16)  1 Li 2.57, 2 Ga 2.58-2.61

Values from the calculation:
N(E_F) ... 29.15 states/eV/cell
E_form ... -542 meV/atom